First-principles (PBE) data for a relaxed TmTh3Sb4 crystal, as listed in Alexandria.

Lattice parameters (Å, degrees): 7.749 7.741 8.904 90.00 90.00 109.24
Fractional coordinates of all 16 atoms:
Sb (0.999, 0.759, 0.880)
Sb (0.501, 0.241, 0.880)
Sb (0.499, 0.759, 0.120)
Sb (0.495, 0.245, 0.370)
Sb (0.505, 0.755, 0.630)
Sb (0.005, 0.755, 0.370)
Sb (0.001, 0.241, 0.120)
Sb (0.995, 0.245, 0.630)
Th (0.250, 0.500, 0.875)
Th (0.750, 0.500, 0.625)
Th (0.750, 0.500, 0.125)
Th (0.750, 0.000, 0.375)
Th (0.250, 0.000, 0.625)
Th (0.250, 0.500, 0.375)
Tm (0.750, 0.000, 0.876)
Tm (0.250, 0.000, 0.124)

## Properties
symmetry: P2/c, No. 13
theoretical density: 8906 kg/m³
magnetic moment: 0.00 μB per formula unit
polymorph energy (0 for the lowest one): 0 meV per atom
raw total energy: -6.343 eV per atom

***

First-principles (PBE) data for a relaxed Tm2Th2Sb5 crystal, as listed in Alexandria.

Lattice parameters (Å, degrees): 8.245 8.846 8.846 124.51 90.00 90.00
Fractional coordinates of all 18 atoms:
Sb (0.348, 0.711, 0.981)
Sb (0.500, 0.500, 0.500)
Sb (0.152, 0.211, 0.481)
Sb (0.848, 0.519, 0.789)
Sb (0.152, 0.481, 0.211)
Sb (0.652, 0.019, 0.289)
Sb (0.000, 0.000, 0.000)
Sb (0.848, 0.789, 0.519)
Sb (0.652, 0.289, 0.019)
Sb (0.348, 0.981, 0.711)
Th (0.500, 0.306, 0.694)
Th (0.000, 0.806, 0.194)
Th (0.000, 0.194, 0.806)
Th (0.500, 0.694, 0.306)
Tm (0.847, 0.349, 0.349)
Tm (0.153, 0.651, 0.651)
Tm (0.653, 0.849, 0.849)
Tm (0.347, 0.151, 0.151)

## Properties
symmetry: Cmce, No. 64
theoretical density: 8811 kg/m³
magnetic moment: 0.00 μB per formula unit
raw total energy: -5.757 eV per atom

***

First-principles (PBE) data for a relaxed Tm2Th2Sb3 crystal, as listed in Alexandria.

Lattice parameters (Å, degrees): 4.255 7.410 7.447 97.71 90.00 106.70
Each line ends with the local moment (μB).
Fractional coordinates of all 7 atoms:
Sb (0.000, 0.000, 0.000)  0.00
Sb (0.260, 0.520, 0.758)  0.00
Sb (0.740, 0.480, 0.242)  0.00
Tm (0.376, 0.752, 0.134)  0.01
Tm (0.624, 0.248, 0.866)  0.01
Th (0.110, 0.221, 0.397)  0.11
Th (0.890, 0.779, 0.603)  0.11

## Properties
symmetry: C2/m, No. 12
theoretical density: 8705 kg/m³
magnetic moment: 0.46 μB per formula unit
raw total energy: -5.822 eV per atom

***

First-principles (PBE) data for a relaxed TmTh2Sb2 crystal, as listed in Alexandria.

Lattice parameters (Å, degrees): 5.674 6.497 8.759 111.77 90.00 90.00
Fractional coordinates of all 10 atoms:
Sb (0.750, 0.877, 0.265)
Sb (0.250, 0.123, 0.735)
Sb (0.250, 0.611, 0.735)
Sb (0.750, 0.389, 0.265)
Th (0.750, 0.414, 0.828)
Th (0.750, 0.802, 0.604)
Th (0.250, 0.586, 0.172)
Th (0.250, 0.198, 0.396)
Tm (0.000, 0.000, 0.000)
Tm (0.500, 0.000, 0.000)

## Properties
symmetry: Cmcm, No. 63
theoretical density: 9707 kg/m³
magnetic moment: 0.00 μB per formula unit
raw total energy: -5.916 eV per atom

***

First-principles (PBE) data for a relaxed Tm2ThSb crystal, as listed in Alexandria.

Lattice parameters (Å, degrees): 3.901 3.901 9.814 78.54 78.54 60.00
Each line ends with the local moment (μB).
Fractional coordinates of all 4 atoms:
Th (0.501, 0.501, 0.498)  0.08
Sb (0.666, 0.666, 0.001)  0.00
Tm (0.068, 0.068, 0.796)  0.07
Tm (0.265, 0.265, 0.204)  0.02

## Properties
symmetry: R3m, No. 160
theoretical density: 9122 kg/m³
magnetic moment: 0.30 μB per formula unit
polymorph energy (0 for the lowest one): 235 meV per atom
raw total energy: -5.350 eV per atom

***

First-principles (PBE) data for a relaxed TmTh3Sb4 crystal, as listed in Alexandria.

Lattice parameters (Å, degrees): 4.465 7.738 7.738 109.42 90.00 90.00
Fractional coordinates of all 8 atoms:
Tm (0.500, 0.000, 0.000)
Th (0.000, 0.500, 0.000)
Th (0.000, 0.000, 0.500)
Th (0.500, 0.500, 0.500)
Sb (0.000, 0.759, 0.759)
Sb (0.500, 0.755, 0.245)
Sb (0.000, 0.241, 0.241)
Sb (0.500, 0.245, 0.755)

## Properties
symmetry: Cmmm, No. 65
theoretical density: 8904 kg/m³
magnetic moment: 0.00 μB per formula unit
polymorph energy (0 for the lowest one): 4 meV per atom
raw total energy: -6.339 eV per atom

***

First-principles (PBE) data for a relaxed Tm2ThSb crystal, as listed in Alexandria.

Lattice parameters (Å, degrees): 3.578 3.578 10.671 80.35 80.35 60.00
Fractional coordinates of all 4 atoms:
Sb (0.000, 0.000, 0.000)
Tm (0.744, 0.744, 0.768)
Tm (0.256, 0.256, 0.232)
Th (0.500, 0.500, 0.500)

## Properties
symmetry: R-3m, No. 166
theoretical density: 9895 kg/m³
magnetic moment: 0.00 μB per formula unit
polymorph energy (0 for the lowest one): 185 meV per atom
raw total energy: -5.399 eV per atom

***

First-principles (PBE) data for a relaxed YTm3Th2Sb6 crystal, as listed in Alexandria.

Lattice parameters (Å, degrees): 4.415 8.790 9.838 102.72 102.97 90.00
Fractional coordinates of all 12 atoms:
Tm (0.167, 0.834, 0.334)
Tm (0.500, 0.500, 0.000)
Tm (0.833, 0.166, 0.666)
Y (0.500, 0.000, 0.000)
Sb (0.667, 0.075, 0.334)
Sb (0.336, 0.410, 0.671)
Sb (0.664, 0.590, 0.329)
Sb (0.996, 0.251, 0.993)
Sb (0.333, 0.925, 0.666)
Sb (0.004, 0.749, 0.007)
Th (0.165, 0.331, 0.330)
Th (0.835, 0.669, 0.670)

## Properties
symmetry: C2/m, No. 12
theoretical density: 8202 kg/m³
magnetic moment: 0.00 μB per formula unit
raw total energy: -5.987 eV per atom

***

What D(E_F) values result from the calculations? In sequence: 0.53 0.56 0.73 1.15 1.52 0.58 0.88 0.37 states/eV per atom.